(1)
InGaI | the Alexandria database | PBE | relaxed; total magnetization = 0.00 μB/cell; space group = No. 1; E = -2.541 eV/atom; formation energy from raw total energies = -0.103 eV per atom
1.0
4.3034 0.0000 0.0000
0.0452 6.7444 0.0000
2.1280 1.6946 7.2041
In Ga I
2 2 2
Cartesian
0.0000 0.0000 0.0000
4.2672 3.8906 7.1107
2.1079 5.6288 6.6509
4.2372 3.9539 2.1558
2.0878 5.6544 3.2067
4.2270 2.2433 4.4120

=====

(2)
InGaI | the Alexandria database | PBE | relaxed; total magnetization = 0.00 μB/cell; space group = No. 1; E = -2.588 eV/atom; formation energy from raw total energies = -0.149 eV per atom
1.0
4.6962 0.0000 0.0000
2.3304 6.0495 0.0000
0.0039 1.3602 6.8624
In Ga I
2 2 2
Cartesian
0.0000 0.0000 0.0000
2.3489 0.9266 1.8064
0.0528 0.8032 3.6746
2.4024 1.4779 4.9945
3.1873 4.1652 4.3220
5.5359 3.4818 0.8934